Record 1
First-principles (GGA-PBE) data for Tb6Mg2Os after structural relaxation, as listed in the Alexandria database.

Calculated values
magnetization: 0.00 μB per atom
space group: Immm, No. 71
ΔH_f (0 K): 0.144 eV/atom
crystal system: orthorhombic

Cell lengths 5.552, 8.494, 7.641 Å; angles 123.77, 111.29, 90.00 degrees
Element x y z (fractional)
Tb (0.846, 0.583, 0.692)
Tb (0.154, 0.892, 0.308)
Tb (0.154, 0.417, 0.308)
Tb (0.846, 0.108, 0.692)
Tb (0.500, 0.825, 0.000)
Tb (0.500, 0.175, 0.000)
Os (0.000, 0.000, 0.000)
Mg (0.636, 0.635, 0.270)
Mg (0.364, 0.365, 0.730)

Record 2
First-principles (GGA-PBE) data for Tb3MgOs after structural relaxation, as listed in the Alexandria database.

Calculated values
magnetization: 0.00 μB per atom
space group: Pm-3m, No. 221
ΔH_f (0 K): 0.005 eV/atom
crystal system: cubic
excess energy over the best structure of this formula in the dataset: 181.9 meV/atom

Cell lengths 5.416, 5.416, 5.416 Å; angles 90.00, 90.00, 90.00 degrees
Element x y z (fractional)
Tb (0.000, 0.500, 0.000)
Tb (0.000, 0.000, 0.500)
Tb (0.500, 0.000, 0.000)
Os (0.000, 0.000, 0.000)
Mg (0.500, 0.500, 0.500)